No. 1
# ReNi2Pt | the Alexandria database | SCAN | PBEsol geometry
# Energy above the lowest structure with this stoichiometry = 0 meV per atom
# D(E_F) = 2.97 states/eV/cell
# SG = P4/mmm (123)
# Electronic total energy = -43.4754 eV per atom
data_ReNi2Pt
_chemical_formula_sum 'Re1 Ni2 Pt1'
_symmetry_space_group_name_H-M 'P 1'
_symmetry_Int_Tables_number 1
_cell_length_a 2.640
_cell_length_b 2.640
_cell_length_c 7.228
_cell_angle_alpha 90.00
_cell_angle_beta 90.00
_cell_angle_gamma 90.00
loop_
_symmetry_equiv_pos_as_xyz
'x,y,z'
loop_
_atom_site_label
_atom_site_fract_x
_atom_site_fract_y
_atom_site_fract_z
Re1 0.000 0.000 0.000
Ni1 0.500 0.500 0.243
Ni2 0.500 0.500 0.757
Pt1 0.000 0.000 0.500

No. 2
# ZnGaS2Cl | the Alexandria database | SCAN | PBEsol geometry
# Energy above the lowest structure with this stoichiometry = 0 meV per atom
# D(E_F) = 4.71 states/eV/cell
# SG = P4/mmm (123)
# ΔE_f (raw) = 0.01 eV per atom
# Electronic total energy = -11.4071 eV per atom
data_ZnGaS2Cl
_chemical_formula_sum 'Zn1 Ga1 S2 Cl1'
_symmetry_space_group_name_H-M 'P 1'
_symmetry_Int_Tables_number 1
_cell_length_a 4.562
_cell_length_b 4.562
_cell_length_c 5.067
_cell_angle_alpha 90.00
_cell_angle_beta 90.00
_cell_angle_gamma 90.00
loop_
_symmetry_equiv_pos_as_xyz
'x,y,z'
loop_
_atom_site_label
_atom_site_fract_x
_atom_site_fract_y
_atom_site_fract_z
Zn1 0.000 0.000 0.000
Ga1 0.500 0.500 0.500
S1 0.000 0.500 0.000
S2 0.500 0.000 0.000
Cl1 0.000 0.000 0.500

No. 3
# BaSc2PdN | the Alexandria database | SCAN | PBEsol geometry
# D(E_F) = 5.08 states/eV/cell
# SG = P4/mmm (123)
# ΔE_f (raw) = 2.31 eV per atom
# Electronic total energy = -19.7078 eV per atom
data_BaSc2PdN
_chemical_formula_sum 'Ba1 Sc2 Pd1 N1'
_symmetry_space_group_name_H-M 'P 1'
_symmetry_Int_Tables_number 1
_cell_length_a 5.347
_cell_length_b 5.347
_cell_length_c 4.967
_cell_angle_alpha 90.00
_cell_angle_beta 90.00
_cell_angle_gamma 90.00
loop_
_symmetry_equiv_pos_as_xyz
'x,y,z'
loop_
_atom_site_label
_atom_site_fract_x
_atom_site_fract_y
_atom_site_fract_z
Ba1 0.000 0.000 0.000
Sc1 0.000 0.500 0.000
Sc2 0.500 0.000 0.000
Pd1 0.000 0.000 0.500
N1 0.500 0.500 0.500

No. 4
# ScInTe2 | the Alexandria database | SCAN | PBEsol geometry
# D(E_F) = 1.47 states/eV/cell
# SG = I-4m2 (119)
# ΔE_f (raw) = -0.44 eV per atom
# Electronic total energy = -30.9688 eV per atom
data_ScInTe2
_chemical_formula_sum 'Sc1 In1 Te2'
_symmetry_space_group_name_H-M 'P 1'
_symmetry_Int_Tables_number 1
_cell_length_a 6.173
_cell_length_b 6.173
_cell_length_c 6.173
_cell_angle_alpha 138.78
_cell_angle_beta 138.78
_cell_angle_gamma 59.71
loop_
_symmetry_equiv_pos_as_xyz
'x,y,z'
loop_
_atom_site_label
_atom_site_fract_x
_atom_site_fract_y
_atom_site_fract_z
Sc1 0.000 0.000 0.000
In1 0.250 0.750 0.500
Te1 0.500 0.500 0.000
Te2 0.750 0.250 0.500